V6O7F5 | GGA+U | relaxed

Properties
Magnetization: 11.00 Bohr magnetons per cell
Energy: -130.70 eV for the cell shown
Distance to the lowest polymorph of the same formula: 13.4 meV per atom

Lattice parameters (Å, degrees): 5.595 5.595 7.346 73.47 73.47 71.78
Fractional coordinates of all 18 atoms:
F (0.899, 0.899, 0.291)
F (0.427, 0.427, 0.371)
F (0.110, 0.110, 0.701)
F (0.689, 0.300, 0.002)
F (0.300, 0.689, 0.002)
O (0.218, 0.218, 0.971)
O (0.957, 0.362, 0.338)
O (0.764, 0.764, 0.027)
O (0.362, 0.957, 0.338)
O (0.573, 0.573, 0.648)
O (0.039, 0.647, 0.663)
O (0.647, 0.039, 0.663)
V (0.307, 0.307, 0.172)
V (0.008, 0.008, 0.493)
V (0.345, 0.345, 0.686)
V (0.995, 0.995, 0.995)
V (0.696, 0.696, 0.806)
V (0.663, 0.663, 0.332)